(1)
The following is a PBEsol calculation of an optimized crystal structure of NaGeTe2N, from the Alexandria database.

Output
The value obtained for the offset from the most stable computed form is 996 meV per atom. The formation energy (no corrections) is 1224 meV per atom.

a = 4.207 Å, b = 5.485 Å, c = 5.485 Å
α = 90.00°, β = 90.00°, γ = 90.00°
Sites, in units of the cell vectors:
Na 0.000 0.000 0.000
Te 0.000 0.000 0.500
Te 0.000 0.500 0.000
N 0.500 0.000 0.000
Ge 0.500 0.500 0.500

---

(2)
The following is a PBEsol calculation of an optimized crystal structure of Nb3GeN, from the Alexandria database.

Output
The formation energy (no corrections) is -536 meV per atom.

a = 4.214 Å, b = 4.214 Å, c = 4.214 Å
α = 90.00°, β = 90.00°, γ = 90.00°
Sites, in units of the cell vectors:
Nb 0.000 0.000 0.500
Nb 0.000 0.500 0.000
Nb 0.500 0.000 0.000
Ge 0.500 0.500 0.500
N 0.000 0.000 0.000

---

(3)
The following is a PBEsol calculation of an optimized crystal structure of NiGeSN2, from the Alexandria database.

Output
The formation energy (no corrections) is 1230 meV per atom.

a = 3.603 Å, b = 3.603 Å, c = 5.164 Å
α = 90.00°, β = 90.00°, γ = 90.00°
Sites, in units of the cell vectors:
N 0.000 0.500 0.000
N 0.500 0.000 0.000
Ge 0.000 0.000 0.000
Ni 0.500 0.500 0.500
S 0.000 0.000 0.500

---

(4)
The following is a PBEsol calculation of an optimized crystal structure of Ni2SnGeN, from the Alexandria database.

Output
The formation energy (no corrections) is 1538 meV per atom.

a = 4.216 Å, b = 4.216 Å, c = 5.427 Å
α = 90.00°, β = 90.00°, γ = 90.00°
Sites, in units of the cell vectors:
Ge 0.000 0.000 0.000
Sn 0.000 0.000 0.500
N 0.500 0.500 0.500
Ni 0.500 0.000 0.000
Ni 0.000 0.500 0.000

---

(5)
The following is a PBEsol calculation of an optimized crystal structure of Ge2NO, from the Alexandria database.

Output
The formation energy (no corrections) is 425 meV per atom.

a = 3.977 Å, b = 3.977 Å, c = 3.977 Å
α = 60.00°, β = 60.00°, γ = 60.00°
Sites, in units of the cell vectors:
Ge 0.750 0.750 0.750
Ge 0.250 0.250 0.250
O 0.500 0.500 0.500
N 0.000 0.000 0.000

---

(6)
The following is a PBEsol calculation of an optimized crystal structure of SiGeN2O, from the Alexandria database.

Output
The formation energy (no corrections) is -1198 meV per atom.

a = 4.993 Å, b = 5.356 Å, c = 5.356 Å
α = 116.50°, β = 90.26°, γ = 90.26°
Sites, in units of the cell vectors:
O 0.333 0.805 0.805
O 0.860 0.260 0.260
N 0.749 0.061 0.658
N 0.267 0.336 0.883
N 0.749 0.658 0.061
N 0.267 0.883 0.336
Ge 0.913 0.969 0.325
Ge 0.913 0.325 0.969
Si 0.409 0.668 0.015
Si 0.409 0.015 0.668

---

Number 1: density of states at the Fermi level 3.76 states/eV per cell, E -3.16 eV per atom. Number 2: density of states at the Fermi level 6.94 states/eV per cell, E -9.72 eV per atom. Number 3: density of states at the Fermi level 3.82 states/eV per cell, E -5.28 eV per atom. Number 4: density of states at the Fermi level 2.55 states/eV per cell, E -4.47 eV per atom. Number 5: density of states at the Fermi level 1.45 states/eV per cell, E -5.49 eV per atom. Number 6: density of states at the Fermi level 0.00 states/eV per cell, E -7.80 eV per atom.